# VPd2SO, relaxed, DFT PBE+U
# * crystal system: tetragonal
# * electronic total energy: -4.21 eV/atom
# * size of the total moment: 1.61 μB/f.u.
# * DOS at the Fermi energy: 6.03 states/eV/f.u.
data_VPd2SO
_cell_length_a 4.8137
_cell_length_b 4.8137
_cell_length_c 4.3096
_cell_angle_alpha 90.00
_cell_angle_beta 90.00
_cell_angle_gamma 90.00
_symmetry_space_group_name_H-M 'P 4/m m m'
_symmetry_Int_Tables_number 123
_symmetry_space_group_name_Hall '-P 4 2'
loop_
_atom_site_label
_atom_site_fract_x
_atom_site_fract_y
_atom_site_fract_z
V1 0.0000 0.0000 0.0000
Pd1 0.0000 0.5000 0.0000
S1 0.0000 0.0000 0.5000
O1 0.5000 0.5000 0.5000